Density functional theory data (SCAN) for a PBEsol-optimized structure of Na2FeO3.

Structure (extended XYZ):
```
12
Lattice="5.151 0.000 0.005 2.575 4.469 0.003 1.776 0.000 5.267" Properties=species:S:1:pos:R:3 pbc="T T T"
Na 6.039 1.407 2.639
Na 3.464 3.062 2.636
Na 0.000 0.000 0.000
Na 3.464 0.000 2.636
Fe 5.151 2.975 0.005
Fe 2.575 1.494 0.003
O 5.331 2.770 4.245
O 1.955 0.000 1.036
O 2.756 1.699 4.242
O 4.172 1.699 1.030
O 6.747 2.770 1.032
O 4.973 0.000 4.236
```

Summary:
The calculation puts the uncorrected formation energy at -10.1 eV per formula unit. As for the density of states at the Fermi level: 2.03 states/eV/cell. The space-group type is C2/m (12).